1 | # Tb2InBi (PBE-GGA, relaxed)
data_Tb2InBi
_symmetry_space_group_name_H-M 'P 1 m 1'
_symmetry_Int_Tables_number 6
_cell_length_a 4.5150
_cell_length_b 4.4199
_cell_length_c 6.2707
_cell_angle_alpha 90.00
_cell_angle_beta 111.06
_cell_angle_gamma 90.00
loop_
_symmetry_equiv_pos_as_xyz
'x,y,z'
'x,-y,z'
loop_
_atom_site_label
_atom_site_type_symbol
_atom_site_fract_x
_atom_site_fract_y
_atom_site_fract_z
Tb1 Tb 0.0000 0.0000 0.0000
Tb2 Tb 0.2642 0.5000 0.5310
In1 In 0.7357 0.0000 0.4737
Bi1 Bi 0.5400 0.5000 0.0802
# - Density: 9124 kg/m³

=====

2 | # Tb2InBi (PBE-GGA, relaxed)
data_Tb2InBi
_symmetry_space_group_name_H-M 'C m c m'
_symmetry_Int_Tables_number 63
_symmetry_space_group_name_Hall '-C 2c 2'
_cell_length_a 4.5853
_cell_length_b 24.1984
_cell_length_c 4.4031
_cell_angle_alpha 90.00
_cell_angle_beta 90.00
_cell_angle_gamma 90.00
loop_
_atom_site_label
_atom_site_type_symbol
_atom_site_fract_x
_atom_site_fract_y
_atom_site_fract_z
Tb1 Tb 0.0000 0.0618 0.2500
Tb2 Tb 0.0000 0.3201 0.2500
In1 In 0.0000 0.4582 0.2500
Bi1 Bi 0.0000 0.1894 0.2500
# - Density: 8724 kg/m³

=====

3 | # Tb2InBi (PBE-GGA, relaxed)
data_Tb2InBi
_symmetry_space_group_name_H-M 'R 3 m'
_symmetry_Int_Tables_number 160
_symmetry_space_group_name_Hall 'R 3 -2"'
_cell_length_a 4.1921
_cell_length_b 4.1921
_cell_length_c 25.1697
_cell_angle_alpha 90.00
_cell_angle_beta 90.00
_cell_angle_gamma 120.00
loop_
_atom_site_label
_atom_site_type_symbol
_atom_site_fract_x
_atom_site_fract_y
_atom_site_fract_z
Tb1 Tb 0.0000 0.0000 0.0000
Tb2 Tb 0.0000 0.0000 0.1776
In1 In 0.0000 0.0000 0.4216
Bi1 Bi 0.0000 0.0000 0.5899
# - Density: 8344 kg/m³

=====

4 | # Tb2InBi (PBE-GGA, relaxed)
data_Tb2InBi
_symmetry_space_group_name_H-M 'R -3 m'
_symmetry_Int_Tables_number 166
_symmetry_space_group_name_Hall '-R 3 2"'
_cell_length_a 4.2392
_cell_length_b 4.2392
_cell_length_c 24.2109
_cell_angle_alpha 90.00
_cell_angle_beta 90.00
_cell_angle_gamma 120.00
loop_
_atom_site_label
_atom_site_type_symbol
_atom_site_fract_x
_atom_site_fract_y
_atom_site_fract_z
Tb1 Tb 0.0000 0.0000 0.2459
In1 In 0.0000 0.0000 0.0000
Bi1 Bi 0.0000 0.0000 0.5000
# - Density: 8483 kg/m³

=====

It is 2 that is the most stable of them.

=====

1 | # TbInBi (PBE-GGA, relaxed)
data_TbInBi
_symmetry_space_group_name_H-M 'R -3 m'
_symmetry_Int_Tables_number 166
_symmetry_space_group_name_Hall '-R 3 2"'
_cell_length_a 5.0649
_cell_length_b 5.0649
_cell_length_c 25.8089
_cell_angle_alpha 90.00
_cell_angle_beta 90.00
_cell_angle_gamma 120.00
loop_
_atom_site_label
_atom_site_type_symbol
_atom_site_fract_x
_atom_site_fract_y
_atom_site_fract_z
Tb1 Tb 0.0000 0.0000 0.0775
In1 In 0.0000 0.0000 0.3470
Bi1 Bi 0.0000 0.0000 0.2143
# - Density: 8388 kg/m³

=====

2 | # TbInBi (PBE-GGA, relaxed)
data_TbInBi
_symmetry_space_group_name_H-M 'P 3 m 1'
_symmetry_Int_Tables_number 156
_cell_length_a 5.4288
_cell_length_b 5.4288
_cell_length_c 3.4181
_cell_angle_alpha 90.00
_cell_angle_beta 90.00
_cell_angle_gamma 120.00
loop_
_symmetry_equiv_pos_as_xyz
'x,y,z'
'-y,x-y,z'
'-x+y,-x,z'
'-y,-x,z'
'-x+y,y,z'
'x,x-y,z'
loop_
_atom_site_label
_atom_site_type_symbol
_atom_site_fract_x
_atom_site_fract_y
_atom_site_fract_z
Tb1 Tb 0.0000 0.0000 0.0000
In1 In 0.6667 0.3333 0.4975
Bi1 Bi 0.3333 0.6667 0.5027
# - Density: 9188 kg/m³

=====

It is 1 that is the most stable of them.

=====

1 | # In3BiTe4 (PBE-GGA, relaxed)
data_In3BiTe4
_symmetry_space_group_name_H-M 'P m n 21'
_symmetry_Int_Tables_number 31
_cell_length_a 12.5723
_cell_length_b 6.4351
_cell_length_c 6.4162
_cell_angle_alpha 90.00
_cell_angle_beta 90.00
_cell_angle_gamma 90.00
loop_
_symmetry_equiv_pos_as_xyz
'x,y,z'
'-x+1/2,-y,z+1/2'
'-x,y,z'
'x+1/2,-y,z+1/2'
loop_
_atom_site_label
_atom_site_type_symbol
_atom_site_fract_x
_atom_site_fract_y
_atom_site_fract_z
In1 In 0.0000 0.2444 0.0000
In2 In 0.2501 0.2537 0.4965
Bi1 Bi 0.0000 0.7775 0.5158
Te1 Te 0.0000 0.2569 0.4967
Te2 Te 0.0000 0.7421 0.0005
Te3 Te 0.2497 0.2473 0.9962
# - Density: 6806 kg/m³

=====

2 | # In3BiTe4 (PBE-GGA, relaxed)
data_In3BiTe4
_symmetry_space_group_name_H-M 'I 4 2 2'
_symmetry_Int_Tables_number 97
_symmetry_space_group_name_Hall 'I 4 2'
_cell_length_a 8.2688
_cell_length_b 8.2688
_cell_length_c 7.3619
_cell_angle_alpha 90.00
_cell_angle_beta 90.00
_cell_angle_gamma 90.00
loop_
_atom_site_label
_atom_site_type_symbol
_atom_site_fract_x
_atom_site_fract_y
_atom_site_fract_z
In1 In 0.0000 0.0000 0.0000
In2 In 0.0000 0.5000 0.0000
Bi1 Bi 0.0000 0.0000 0.5000
Te1 Te 0.1938 0.3062 0.7500
# - Density: 7019 kg/m³

=====

It is 1 that is the most stable of them.

=====

1 | # In2BiTe (PBE-GGA, relaxed)
data_In2BiTe
_symmetry_space_group_name_H-M 'F m -3 m'
_symmetry_Int_Tables_number 225
_symmetry_space_group_name_Hall '-F 4 2 3'
_cell_length_a 7.7935
_cell_length_b 7.7935
_cell_length_c 7.7935
_cell_angle_alpha 90.00
_cell_angle_beta 90.00
_cell_angle_gamma 90.00
loop_
_atom_site_label
_atom_site_type_symbol
_atom_site_fract_x
_atom_site_fract_y
_atom_site_fract_z
In1 In 0.2500 0.2500 0.2500
Bi1 Bi 0.0000 0.0000 0.0000
Te1 Te 0.0000 0.0000 0.5000
# - Density: 7945 kg/m³

=====

2 | # In2BiTe (PBE-GGA, relaxed)
data_In2BiTe
_symmetry_space_group_name_H-M 'P n m a'
_symmetry_Int_Tables_number 62
_cell_length_a 6.3285
_cell_length_b 4.7837
_cell_length_c 18.0973
_cell_angle_alpha 90.00
_cell_angle_beta 90.00
_cell_angle_gamma 90.00
loop_
_symmetry_equiv_pos_as_xyz
'x,y,z'
'-x,-y,-z'
'-x+1/2,-y,z+1/2'
'x+1/2,y,-z+1/2'
'x+1/2,-y+1/2,-z+1/2'
'-x+1/2,y+1/2,z+1/2'
'-x,y+1/2,-z'
'x,-y+1/2,z'
loop_
_atom_site_label
_atom_site_type_symbol
_atom_site_fract_x
_atom_site_fract_y
_atom_site_fract_z
In1 In 0.2447 0.2500 0.0663
In2 In 0.2479 0.2500 0.8376
Bi1 Bi 0.2452 0.2500 0.4395
Te1 Te 0.2478 0.7500 0.1760
# - Density: 6865 kg/m³

=====

It is 2 that is the most stable of them.

=====

1 | # In2BiTe (PBE-GGA, relaxed)
data_In2BiTe
_symmetry_space_group_name_H-M 'R 3 m'
_symmetry_Int_Tables_number 160
_symmetry_space_group_name_Hall 'R 3 -2"'
_cell_length_a 4.2571
_cell_length_b 4.2571
_cell_length_c 24.0333
_cell_angle_alpha 90.00
_cell_angle_beta 90.00
_cell_angle_gamma 120.00
loop_
_atom_site_label
_atom_site_type_symbol
_atom_site_fract_x
_atom_site_fract_y
_atom_site_fract_z
In1 In 0.0000 0.0000 0.0000
In2 In 0.0000 0.0000 0.1655
Bi1 Bi 0.0000 0.0000 0.5799
Te1 Te 0.0000 0.0000 0.7526
# - Density: 7478 kg/m³

=====

2 | # In2BiTe (PBE-GGA, relaxed)
data_In2BiTe
_symmetry_space_group_name_H-M 'P 4/m m m'
_symmetry_Int_Tables_number 123
_symmetry_space_group_name_Hall '-P 4 2'
_cell_length_a 4.7529
_cell_length_b 4.7529
_cell_length_c 5.3961
_cell_angle_alpha 90.00
_cell_angle_beta 90.00
_cell_angle_gamma 90.00
loop_
_atom_site_label
_atom_site_type_symbol
_atom_site_fract_x
_atom_site_fract_y
_atom_site_fract_z
In1 In 0.0000 0.5000 0.0000
Bi1 Bi 0.0000 0.0000 0.5000
Te1 Te 0.5000 0.5000 0.5000
# - Density: 7713 kg/m³

=====

It is 1 that is the most stable of them.

=====

1 | # In2BiTe (PBE-GGA, relaxed)
data_In2BiTe
_symmetry_space_group_name_H-M 'P m n 21'
_symmetry_Int_Tables_number 31
_cell_length_a 4.9346
_cell_length_b 9.7519
_cell_length_c 6.9405
_cell_angle_alpha 90.00
_cell_angle_beta 90.00
_cell_angle_gamma 90.00
loop_
_symmetry_equiv_pos_as_xyz
'x,y,z'
'-x+1/2,-y,z+1/2'
'-x,y,z'
'x+1/2,-y,z+1/2'
loop_
_atom_site_label
_atom_site_type_symbol
_atom_site_fract_x
_atom_site_fract_y
_atom_site_fract_z
In1 In 0.0000 0.1203 0.0000
In2 In 0.0000 0.6358 0.0211
Bi1 Bi 0.0000 0.8744 0.7414
Te1 Te 0.0000 0.3808 0.7746
# - Density: 5630 kg/m³

=====

2 | # In2BiTe (PBE-GGA, relaxed)
data_In2BiTe
_symmetry_space_group_name_H-M 'P 4/m m m'
_symmetry_Int_Tables_number 123
_symmetry_space_group_name_Hall '-P 4 2'
_cell_length_a 3.9110
_cell_length_b 3.9110
_cell_length_c 7.7271
_cell_angle_alpha 90.00
_cell_angle_beta 90.00
_cell_angle_gamma 90.00
loop_
_atom_site_label
_atom_site_type_symbol
_atom_site_fract_x
_atom_site_fract_y
_atom_site_fract_z
In1 In 0.0000 0.0000 0.2341
Bi1 Bi 0.5000 0.5000 0.5000
Te1 Te 0.5000 0.5000 0.0000
# - Density: 7955 kg/m³

=====

3 | # In2BiTe (PBE-GGA, relaxed)
data_In2BiTe
_symmetry_space_group_name_H-M 'R -3 m'
_symmetry_Int_Tables_number 166
_symmetry_space_group_name_Hall '-R 3 2"'
_cell_length_a 4.3828
_cell_length_b 4.3828
_cell_length_c 22.4659
_cell_angle_alpha 90.00
_cell_angle_beta 90.00
_cell_angle_gamma 120.00
loop_
_atom_site_label
_atom_site_type_symbol
_atom_site_fract_x
_atom_site_fract_y
_atom_site_fract_z
In1 In 0.0000 0.0000 0.2499
Bi1 Bi 0.0000 0.0000 0.0000
Te1 Te 0.0000 0.0000 0.5000
# - Density: 7547 kg/m³

=====

It is 3 that is the most stable of them.

=====

1 | # In2BiTe3 (PBE-GGA, relaxed)
data_In2BiTe3
_symmetry_space_group_name_H-M 'P 1 21/m 1'
_symmetry_Int_Tables_number 11
_cell_length_a 8.2533
_cell_length_b 4.3958
_cell_length_c 12.8806
_cell_angle_alpha 90.00
_cell_angle_beta 108.28
_cell_angle_gamma 90.00
loop_
_symmetry_equiv_pos_as_xyz
'x,y,z'
'-x,-y,-z'
'-x,y+1/2,-z'
'x,-y+1/2,z'
loop_
_atom_site_label
_atom_site_type_symbol
_atom_site_fract_x
_atom_site_fract_y
_atom_site_fract_z
In1 In 0.0681 0.2500 0.3982
In2 In 0.4174 0.7500 0.8735
Bi1 Bi 0.2383 0.7500 0.1236
Te1 Te 0.1699 0.2500 0.9342
Te2 Te 0.1740 0.2500 0.6387
Te3 Te 0.3370 0.2500 0.3082
# - Density: 6148 kg/m³

=====

2 | # In2BiTe3 (PBE-GGA, relaxed)
data_In2BiTe3
_symmetry_space_group_name_H-M 'I m m m'
_symmetry_Int_Tables_number 71
_symmetry_space_group_name_Hall '-I 2 2'
_cell_length_a 4.4800
_cell_length_b 6.4431
_cell_length_c 13.6797
_cell_angle_alpha 90.00
_cell_angle_beta 90.00
_cell_angle_gamma 90.00
loop_
_atom_site_label
_atom_site_type_symbol
_atom_site_fract_x
_atom_site_fract_y
_atom_site_fract_z
In1 In 0.0000 0.0000 0.1659
Bi1 Bi 0.0000 0.0000 0.5000
Te1 Te 0.0000 0.5000 0.1645
Te2 Te 0.0000 0.5000 0.5000
# - Density: 6909 kg/m³

=====

It is 2 that is the most stable of them.

=====

1 | # InBiTe3 (PBE-GGA, relaxed)
data_InBiTe3
_symmetry_space_group_name_H-M 'P 1 21/m 1'
_symmetry_Int_Tables_number 11
_cell_length_a 8.3182
_cell_length_b 4.3794
_cell_length_c 11.4733
_cell_angle_alpha 90.00
_cell_angle_beta 92.56
_cell_angle_gamma 90.00
loop_
_symmetry_equiv_pos_as_xyz
'x,y,z'
'-x,-y,-z'
'-x,y+1/2,-z'
'x,-y+1/2,z'
loop_
_atom_site_label
_atom_site_type_symbol
_atom_site_fract_x
_atom_site_fract_y
_atom_site_fract_z
In1 In 0.0481 0.2500 0.1293
Bi1 Bi 0.2931 0.2500 0.5599
Te1 Te 0.0177 0.7500 0.6366
Te2 Te 0.2282 0.7500 0.0372
Te3 Te 0.4817 0.2500 0.3340
# - Density: 5620 kg/m³

=====

2 | # InBiTe3 (PBE-GGA, relaxed)
data_InBiTe3
_symmetry_space_group_name_H-M 'A m m 2'
_symmetry_Int_Tables_number 38
_cell_length_a 4.2972
_cell_length_b 8.9768
_cell_length_c 14.0621
_cell_angle_alpha 90.00
_cell_angle_beta 90.00
_cell_angle_gamma 90.00
loop_
_symmetry_equiv_pos_as_xyz
'x,y,z'
'-x,-y,z'
'-x,y,z'
'x,-y,z'
'x,y+1/2,z+1/2'
'-x,-y+1/2,z+1/2'
'-x,y+1/2,z+1/2'
'x,-y+1/2,z+1/2'
loop_
_atom_site_label
_atom_site_type_symbol
_atom_site_fract_x
_atom_site_fract_y
_atom_site_fract_z
In1 In 0.0000 0.0000 0.0000
Bi1 Bi 0.5000 0.0000 0.3701
Te1 Te 0.0000 0.0000 0.2271
Te2 Te 0.5000 0.2211 0.0027
# - Density: 4326 kg/m³

=====

3 | # InBiTe3 (PBE-GGA, relaxed)
data_InBiTe3
_symmetry_space_group_name_H-M 'P m -3 m'
_symmetry_Int_Tables_number 221
_symmetry_space_group_name_Hall '-P 4 2 3'
_cell_length_a 5.6260
_cell_length_b 5.6260
_cell_length_c 5.6260
_cell_angle_alpha 90.00
_cell_angle_beta 90.00
_cell_angle_gamma 90.00
loop_
_atom_site_label
_atom_site_type_symbol
_atom_site_fract_x
_atom_site_fract_y
_atom_site_fract_z
In1 In 0.0000 0.0000 0.0000
Bi1 Bi 0.5000 0.5000 0.5000
Te1 Te 0.0000 0.0000 0.5000
# - Density: 6589 kg/m³

=====

4 | # InBiTe3 (PBE-GGA, relaxed)
data_InBiTe3
_symmetry_space_group_name_H-M 'P m -3 m'
_symmetry_Int_Tables_number 221
_symmetry_space_group_name_Hall '-P 4 2 3'
_cell_length_a 5.9744
_cell_length_b 5.9744
_cell_length_c 5.9744
_cell_angle_alpha 90.00
_cell_angle_beta 90.00
_cell_angle_gamma 90.00
loop_
_atom_site_label
_atom_site_type_symbol
_atom_site_fract_x
_atom_site_fract_y
_atom_site_fract_z
In1 In 0.0000 0.0000 0.0000
Bi1 Bi 0.5000 0.5000 0.5000
Te1 Te 0.0000 0.5000 0.5000
# - Density: 5502 kg/m³

=====

It is 1 that is the most stable of them.

=====

1 | # In2Bi2Te (PBE-GGA, relaxed)
data_In2Bi2Te
_symmetry_space_group_name_H-M 'I 4/m m m'
_symmetry_Int_Tables_number 139
_symmetry_space_group_name_Hall '-I 4 2'
_cell_length_a 4.3565
_cell_length_b 4.3565
_cell_length_c 16.3221
_cell_angle_alpha 90.00
_cell_angle_beta 90.00
_cell_angle_gamma 90.00
loop_
_atom_site_label
_atom_site_type_symbol
_atom_site_fract_x
_atom_site_fract_y
_atom_site_fract_z
In1 In 0.0000 0.5000 0.2500
Bi1 Bi 0.0000 0.0000 0.1049
Te1 Te 0.0000 0.0000 0.5000
# - Density: 8311 kg/m³

=====

2 | # In2Bi2Te (PBE-GGA, relaxed)
data_In2Bi2Te
_symmetry_space_group_name_H-M 'I 4/m m m'
_symmetry_Int_Tables_number 139
_symmetry_space_group_name_Hall '-I 4 2'
_cell_length_a 4.4013
_cell_length_b 4.4013
_cell_length_c 17.2769
_cell_angle_alpha 90.00
_cell_angle_beta 90.00
_cell_angle_gamma 90.00
loop_
_atom_site_label
_atom_site_type_symbol
_atom_site_fract_x
_atom_site_fract_y
_atom_site_fract_z
In1 In 0.0000 0.0000 0.0906
Bi1 Bi 0.0000 0.5000 0.2500
Te1 Te 0.0000 0.0000 0.5000
# - Density: 7692 kg/m³

=====

3 | # In2Bi2Te (PBE-GGA, relaxed)
data_In2Bi2Te
_symmetry_space_group_name_H-M 'P 4/m b m'
_symmetry_Int_Tables_number 127
_symmetry_space_group_name_Hall '-P 4 2ab'
_cell_length_a 8.7230
_cell_length_b 8.7230
_cell_length_c 4.1567
_cell_angle_alpha 90.00
_cell_angle_beta 90.00
_cell_angle_gamma 90.00
loop_
_atom_site_label
_atom_site_type_symbol
_atom_site_fract_x
_atom_site_fract_y
_atom_site_fract_z
In1 In 0.1360 0.3640 0.0000
Bi1 Bi 0.1668 0.6668 0.5000
Te1 Te 0.0000 0.0000 0.5000
# - Density: 8140 kg/m³

=====

It is 3 that is the most stable of them.